1.
# NaMn5Se8 (PBE, relaxed)
# total moment	18.3	μB/f.u.
# theoretical density	5.2	g/cm3
# volume	21.325	Å³ per atom
# E	-5.871	eV per atom
# energy relative to the elements, uncorrected	-511	meV per atom
data_NaMn5Se8
_symmetry_space_group_name_H-M 'C 1 m 1'
_symmetry_Int_Tables_number 8
_symmetry_space_group_name_Hall 'C -2y'
_cell_length_a 19.0756
_cell_length_b 3.6837
_cell_length_c 8.8202
_cell_angle_alpha 90.00
_cell_angle_beta 105.54
_cell_angle_gamma 90.00
loop_
_atom_site_label
_atom_site_type_symbol
_atom_site_fract_x
_atom_site_fract_y
_atom_site_fract_z
_atom_site_occupancy
Na1 Na 0.0000 0.0000 0.0000 1
Mn1 Mn 0.0332 0.5000 0.5031 1
Mn2 Mn 0.1866 0.0000 0.4828 1
Mn3 Mn 0.2358 0.0000 0.8405 1
Mn4 Mn 0.3274 0.5000 0.1666 1
Mn5 Mn 0.3767 0.5000 0.5260 1
Se1 Se 0.1043 0.0000 0.6681 1
Se2 Se 0.1135 0.5000 0.3176 1
Se3 Se 0.1993 0.5000 0.9986 1
Se4 Se 0.2688 0.5000 0.6568 1
Se5 Se 0.2941 0.0000 0.3507 1
Se6 Se 0.3653 0.0000 0.0069 1
Se7 Se 0.4523 0.0000 0.6894 1
Se8 Se 0.4606 0.5000 0.3392 1

=====

2.
# Na2MnSiSe5 (PBE, relaxed)
# total moment	3.0	μB/f.u.
# theoretical density	4.0	g/cm3
# volume	24.202	Å³ per atom
# E	-4.486	eV per atom
# energy relative to the elements, uncorrected	-635	meV per atom
data_Na2MnSiSe5
_symmetry_space_group_name_H-M 'C m c 21'
_symmetry_Int_Tables_number 36
_symmetry_space_group_name_Hall 'C 2c -2'
_cell_length_a 3.6885
_cell_length_b 17.9237
_cell_length_c 13.1787
_cell_angle_alpha 90.00
_cell_angle_beta 90.00
_cell_angle_gamma 90.00
loop_
_atom_site_label
_atom_site_type_symbol
_atom_site_fract_x
_atom_site_fract_y
_atom_site_fract_z
_atom_site_occupancy
Na1 Na 0.0000 0.1154 0.0000 1
Na2 Na 0.0000 0.1230 0.6558 1
Mn1 Mn 0.0000 0.2163 0.3731 1
Si1 Si 0.0000 0.4265 0.7555 1
Se1 Se 0.0000 0.0582 0.3690 1
Se2 Se 0.0000 0.2838 0.9980 1
Se3 Se 0.0000 0.2989 0.7378 1
Se4 Se 0.0000 0.3450 0.3341 1
Se5 Se 0.0000 0.4906 0.6133 1

=====

3.
# NaMnSi2Se (PBE, relaxed)
# total moment	3.6	μB/f.u.
# theoretical density	2.9	g/cm3
# volume	24.726	Å³ per atom
# E	-4.212	eV per atom
# energy relative to the elements, uncorrected	752	meV per atom
data_NaMnSi2Se
_symmetry_space_group_name_H-M 'P 4/m m m'
_symmetry_Int_Tables_number 123
_symmetry_space_group_name_Hall '-P 4 2'
_cell_length_a 5.1884
_cell_length_b 5.1884
_cell_length_c 4.5926
_cell_angle_alpha 90.00
_cell_angle_beta 90.00
_cell_angle_gamma 90.00
loop_
_atom_site_label
_atom_site_type_symbol
_atom_site_fract_x
_atom_site_fract_y
_atom_site_fract_z
_atom_site_occupancy
Na1 Na 0.0000 0.0000 0.0000 1
Mn1 Mn 0.5000 0.5000 0.0000 1
Si1 Si 0.0000 0.5000 0.5000 1
Se1 Se 0.5000 0.5000 0.5000 1

=====

4.
# Na4Mn3SiSe8 (PBE, relaxed)
# total moment	12.1	μB/f.u.
# theoretical density	4.4	g/cm3
# volume	21.579	Å³ per atom
# E	-4.815	eV per atom
# energy relative to the elements, uncorrected	-685	meV per atom
data_Na4Mn3SiSe8
_symmetry_space_group_name_H-M 'R -3 m'
_symmetry_Int_Tables_number 166
_symmetry_space_group_name_Hall '-R 3 2"'
_cell_length_a 7.5676
_cell_length_b 7.5676
_cell_length_c 20.8856
_cell_angle_alpha 90.00
_cell_angle_beta 90.00
_cell_angle_gamma 120.00
loop_
_atom_site_label
_atom_site_type_symbol
_atom_site_fract_x
_atom_site_fract_y
_atom_site_fract_z
_atom_site_occupancy
Na1 Na 0.0000 0.0000 0.0000 1
Na2 Na 0.0000 0.5000 0.0000 1
Mn1 Mn 0.0000 0.5000 0.5000 1
Si1 Si 0.0000 0.0000 0.5000 1
Se1 Se 0.0000 0.0000 0.2350 1
Se2 Se 0.0100 0.5050 0.2334 1

=====

5.
# Na2MnSiSe4 (PBE, relaxed)
# total moment	3.5	μB/f.u.
# theoretical density	4.4	g/cm3
# volume	21.220	Å³ per atom
# E	-4.500	eV per atom
# energy relative to the elements, uncorrected	-604	meV per atom
data_Na2MnSiSe4
_symmetry_space_group_name_H-M 'C 1 2/c 1'
_symmetry_Int_Tables_number 15
_symmetry_space_group_name_Hall '-C 2yc'
_cell_length_a 10.9291
_cell_length_b 10.8879
_cell_length_c 7.7294
_cell_angle_alpha 90.00
_cell_angle_beta 132.42
_cell_angle_gamma 90.00
loop_
_atom_site_label
_atom_site_type_symbol
_atom_site_fract_x
_atom_site_fract_y
_atom_site_fract_z
_atom_site_occupancy
Na1 Na 0.0000 0.0000 0.0000 1
Na2 Na 0.2500 0.2500 0.0000 1
Mn1 Mn 0.2500 0.2500 0.5000 1
Si1 Si 0.0000 0.5000 0.0000 1
Se1 Se 0.0176 0.2682 0.4992 1
Se2 Se 0.2206 0.4823 0.4675 1

=====

6.
# NaSm2MnSe4 (PBE, relaxed)
# total moment	4.3	μB/f.u.
# theoretical density	5.9	g/cm3
# volume	24.462	Å³ per atom
# E	-5.592	eV per atom
# energy relative to the elements, uncorrected	-1358	meV per atom
data_NaSm2MnSe4
_symmetry_space_group_name_H-M 'P 1 2/m 1'
_symmetry_Int_Tables_number 10
_symmetry_space_group_name_Hall '-P 2y'
_cell_length_a 7.0178
_cell_length_b 4.1302
_cell_length_c 7.1771
_cell_angle_alpha 90.00
_cell_angle_beta 109.82
_cell_angle_gamma 90.00
loop_
_atom_site_label
_atom_site_type_symbol
_atom_site_fract_x
_atom_site_fract_y
_atom_site_fract_z
_atom_site_occupancy
Na1 Na 0.0000 0.0000 0.0000 1
Sm1 Sm 0.5000 0.0000 0.5000 1
Sm2 Sm 0.5000 0.5000 0.0000 1
Mn1 Mn 0.0000 0.5000 0.5000 1
Se1 Se 0.2338 0.0000 0.7362 1
Se2 Se 0.2436 0.5000 0.2556 1

=====

7.
# Na3MnSn3Se8 (PBE, relaxed)
# total moment	0.0	μB/f.u.
# theoretical density	4.7	g/cm3
# volume	25.977	Å³ per atom
# E	-4.159	eV per atom
# energy relative to the elements, uncorrected	-625	meV per atom
data_Na3MnSn3Se8
_symmetry_space_group_name_H-M 'R -3 m'
_symmetry_Int_Tables_number 166
_symmetry_space_group_name_Hall '-R 3 2"'
_cell_length_a 7.9029
_cell_length_b 7.9029
_cell_length_c 21.6127
_cell_angle_alpha 90.00
_cell_angle_beta 90.00
_cell_angle_gamma 120.00
loop_
_atom_site_label
_atom_site_type_symbol
_atom_site_fract_x
_atom_site_fract_y
_atom_site_fract_z
_atom_site_occupancy
Na1 Na 0.0000 0.5000 0.0000 1
Mn1 Mn 0.0000 0.0000 0.5000 1
Sn1 Sn 0.0000 0.5000 0.5000 1
Se1 Se 0.0000 0.0000 0.2467 1
Se2 Se 0.0381 0.5191 0.2311 1

=====

8.
# NaMnSn2Se6 (PBE, relaxed)
# total moment	4.0	μB/f.u.
# theoretical density	4.1	g/cm3
# volume	31.900	Å³ per atom
# E	-4.365	eV per atom
# energy relative to the elements, uncorrected	-425	meV per atom
data_NaMnSn2Se6
_symmetry_space_group_name_H-M 'C 1 2/c 1'
_symmetry_Int_Tables_number 15
_symmetry_space_group_name_Hall '-C 2yc'
_cell_length_a 15.2140
_cell_length_b 13.3150
_cell_length_c 7.0711
_cell_angle_alpha 90.00
_cell_angle_beta 117.03
_cell_angle_gamma 90.00
loop_
_atom_site_label
_atom_site_type_symbol
_atom_site_fract_x
_atom_site_fract_y
_atom_site_fract_z
_atom_site_occupancy
Na1 Na 0.0000 0.1008 0.2500 1
Mn1 Mn 0.0000 0.2716 0.7500 1
Sn1 Sn 0.2356 0.3157 0.2762 1
Se1 Se 0.0812 0.4024 0.0023 1
Se2 Se 0.1098 0.1340 0.7671 1
Se3 Se 0.2172 0.1261 0.3346 1